[1]
Compound: LuMgZnSn
Source: Alexandria via LeMat-Bulk
Functional: PBE
Structure: relaxed

The crystal system is cubic. The space group is F-43m, No. 216. As for the formation energy: -0.253 eV per atom.

Cell: 5.0091 5.0091 5.0091 Å, 60.00 60.00 60.00°
Fractional coordinates of all 4 atoms:
Mg 0.5000 0.5000 0.5000
Zn 0.2500 0.2500 0.2500
Lu 0.0000 0.0000 0.0000
Sn 0.7500 0.7500 0.7500



[2]
Compound: La2MoPb
Source: Alexandria via LeMat-Bulk
Functional: PBE
Structure: relaxed

The crystal system is tetragonal. The space group is I-4m2, No. 119. As for the formation energy: 0.204 eV per atom.

Cell: 5.6922 5.6922 5.6922 Å, 129.98 129.98 73.44°
Site moments in Bohr magnetons follow the coordinates.
Fractional coordinates of all 4 atoms:
La 0.0000 0.0000 0.0000  -0.07
La 0.2500 0.7500 0.5000  0.01
Mo 0.5000 0.5000 0.0000  1.30
Pb 0.7500 0.2500 0.5000  -0.02



[3]
Compound: CsOs2Au
Source: Alexandria via LeMat-Bulk
Functional: PBE
Structure: relaxed

The crystal system is tetragonal. The space group is I-42d, No. 122. As for the formation energy: 1.418 eV per atom.

Cell: 4.7236 4.7236 10.3415 Å, 76.80 76.80 90.00°
Fractional coordinates of all 8 atoms:
Cs 0.5000 0.5000 0.0000
Cs 0.2500 0.7500 0.5000
Os 0.8217 0.1250 0.2500
Os 0.9283 0.6250 0.2500
Os 0.3750 0.1783 0.7500
Os 0.8750 0.0717 0.7500
Au 0.0000 0.0000 0.0000
Au 0.7500 0.2500 0.5000



[4]
Compound: KTaSb2I
Source: Alexandria via LeMat-Bulk
Functional: PBE
Structure: relaxed

The crystal system is tetragonal. The space group is P4/mmm, No. 123. The offset from the most stable computed form comes out at 0.00 kJ/mol of atoms. The value obtained for the uncorrected formation energy is -0.39 eV per formula unit.

Cell: 5.3509 5.3509 6.1413 Å, 90.00 90.00 90.00°
Fractional coordinates of all 5 atoms:
I 0.0000 0.0000 0.5000
Sb 0.0000 0.5000 0.0000
Sb 0.5000 0.0000 0.0000
K 0.5000 0.5000 0.5000
Ta 0.0000 0.0000 0.0000



[5]
Compound: TiIN
Source: Alexandria via LeMat-Bulk
Functional: PBE
Structure: relaxed

The crystal system is triclinic. The space group is P-1, No. 2. The value obtained for the uncorrected formation energy is -2.92 eV per formula unit.

Cell: 3.5225 6.1652 7.4950 Å, 73.77 78.48 90.01°
Fractional coordinates of all 6 atoms:
I 0.3592 0.6711 0.7432
I 0.6408 0.3289 0.2568
N 0.2033 0.8653 0.1098
N 0.7967 0.1347 0.8902
Ti 0.7509 0.8227 0.9978
Ti 0.2491 0.1773 0.0022



[6]
Compound: CaPa3C4N12
Source: Alexandria via LeMat-Bulk
Functional: PBE
Structure: relaxed

The crystal system is trigonal. The space group is R32, No. 155. The value obtained for the uncorrected formation energy is -10.47 eV per formula unit.

Cell: 6.5599 6.5599 6.5599 Å, 101.53 101.53 101.53°
Site moments in Bohr magnetons follow the coordinates.
Fractional coordinates of all 20 atoms:
Ca 0.0000 0.0000 0.0000  0.01
Pa 0.5323 0.4677 0.0000  0.07
Pa 0.4677 0.0000 0.5323  0.07
Pa 0.0000 0.5323 0.4677  0.07
C 0.9668 0.0332 0.5000  -0.01
C 0.0332 0.5000 0.9668  -0.01
C 0.5000 0.9668 0.0332  -0.01
C 0.5000 0.5000 0.5000  0.00
N 0.5000 0.3663 0.6337  0.02
N 0.8991 0.5000 0.1009  0.08
N 0.1009 0.8991 0.5000  0.08
N 0.5000 0.1009 0.8991  0.08
N 0.3846 0.9834 0.1804  0.17
N 0.1804 0.3846 0.9834  0.17
N 0.9834 0.1804 0.3846  0.17
N 0.6154 0.8196 0.0166  0.17
N 0.0166 0.6154 0.8196  0.17
N 0.8196 0.0166 0.6154  0.17
N 0.6337 0.5000 0.3663  0.02
N 0.3663 0.6337 0.5000  0.02



Please write out number 5 again, unchanged.
Compound: TiIN
Source: Alexandria via LeMat-Bulk
Functional: PBE
Structure: relaxed

The crystal system is triclinic. The space group is P-1, No. 2. The value obtained for the uncorrected formation energy is -2.92 eV per formula unit.

Cell: 3.5225 6.1652 7.4950 Å, 73.77 78.48 90.01°
Fractional coordinates of all 6 atoms:
I 0.3592 0.6711 0.7432
I 0.6408 0.3289 0.2568
N 0.2033 0.8653 0.1098
N 0.7967 0.1347 0.8902
Ti 0.7509 0.8227 0.9978
Ti 0.2491 0.1773 0.0022



Question: Which formula does entry 5 have?
Answer: TiIN